VASP calculation (PBE) on an optimized crystal structure of NiGe2.

Structure (POSCAR):
```
NiGe2
1.0
-3.562 -4.905 -2.684
-0.743 -1.271 3.308
-6.205 4.354 0.279
Ge Ni
8 4
Direct
0.370 0.250 0.075
0.031 0.750 0.149
0.531 0.750 0.351
0.870 0.250 0.425
0.130 0.750 0.575
0.469 0.250 0.649
0.969 0.250 0.851
0.630 0.750 0.925
0.746 0.250 0.122
0.246 0.250 0.378
0.754 0.750 0.622
0.254 0.750 0.878
```

Calculated values
As for the calculated density: 7.44 g cm⁻³. For the calculated total energy, the calculation gives -59.77 eV/cell.

=====

VASP calculation (PBE) on an optimized crystal structure of Gd2ZnIn.

Structure (POSCAR):
```
Gd2ZnIn
1.0
-3.395 0.378 -1.303
-0.378 -3.636 -0.070
-2.693 0.144 7.059
Gd In Zn
2 1 1
Direct
0.500 0.500 0.268
0.500 0.500 0.732
0.000 0.000 0.000
0.000 0.000 0.500
```

Calculated values
As for the calculated density: 8.13 g cm⁻³. For the calculated total energy, the calculation gives -15.00 eV/cell.

=====

VASP calculation (PBE) on an optimized crystal structure of BaGeTe2Au2Se2.

Structure (POSCAR):
```
BaGeTe2Au2Se2
1.0
5.374 -4.338 0.000
5.374 4.338 0.000
-4.372 0.000 5.490
Au Ba Ge Se Te
2 1 1 2 2
Direct
0.670 0.330 0.000
0.320 0.680 0.000
0.993 0.007 0.500
0.512 0.488 0.500
0.837 0.493 0.454
0.507 0.163 0.546
0.143 0.482 0.120
0.518 0.857 0.880
```

Calculated values
As for the calculated density: 6.60 g cm⁻³. For the calculated total energy, the calculation gives -31.12 eV/cell.

=====

VASP calculation (PBE) on an optimized crystal structure of AgBiPF.

Structure (POSCAR):
```
AgBiPF
1.0
-4.518 -7.374 4.647
11.588 1.986 14.417
-2.432 2.505 1.610
Ag Bi F P
8 8 8 8
Direct
0.608 0.046 0.000
0.833 0.134 0.000
0.333 0.366 0.000
0.108 0.454 0.000
0.892 0.546 0.000
0.667 0.634 0.000
0.167 0.866 0.000
0.392 0.954 0.000
0.236 0.089 0.500
0.538 0.233 0.500
0.038 0.267 0.500
0.736 0.411 0.500
0.264 0.589 0.500
0.962 0.733 0.500
0.462 0.767 0.500
0.764 0.911 0.500
0.502 0.105 0.500
0.016 0.139 0.500
0.516 0.361 0.500
0.002 0.395 0.500
0.998 0.605 0.500
0.484 0.639 0.500
0.984 0.861 0.500
0.498 0.895 0.500
0.161 0.000 0.000
0.221 0.249 0.000
0.721 0.251 0.000
0.661 0.500 0.000
0.339 0.500 0.000
0.279 0.749 0.000
0.779 0.751 0.000
0.839 0.000 0.000
```

Calculated values
As for the calculated density: 6.94 g cm⁻³. For the calculated total energy, the calculation gives -130.41 eV/cell.

=====

VASP calculation (PBE) on an optimized crystal structure of LiNbIn.

Structure (POSCAR):
```
LiNbIn
1.0
0.000 3.033 3.033
3.033 0.000 3.033
3.033 3.033 0.000
In Li Nb
1 1 1
Direct
0.250 0.250 0.250
0.000 0.000 0.000
0.750 0.750 0.750
```

Calculated values
As for the calculated density: 6.39 g cm⁻³. For the calculated total energy, the calculation gives -12.95 eV/cell.

=====

VASP calculation (PBE) on an optimized crystal structure of YGa2Co3.

Structure (POSCAR):
```
YGa2Co3
1.0
-6.378 -2.227 -5.893
7.387 -5.026 0.742
-1.725 -2.140 2.675
Co Ga Y
9 6 3
Direct
0.500 0.000 0.000
0.817 0.183 0.000
0.365 0.183 0.000
0.183 0.365 0.000
0.000 0.500 0.000
0.500 0.500 0.000
0.817 0.635 0.000
0.183 0.817 0.000
0.635 0.817 0.000
0.316 0.000 0.500
0.684 0.000 0.500
0.000 0.316 0.500
0.316 0.316 0.500
0.684 0.684 0.500
0.000 0.684 0.500
0.000 0.000 0.000
0.667 0.333 0.500
0.333 0.667 0.500
```

Calculated values
As for the calculated density: 7.57 g cm⁻³. For the calculated total energy, the calculation gives -108.18 eV/cell.

=====

Number 3 is which compound? BaGeTe2Au2Se2

=====

Which value of calculated density does entry 5 give? 6.39 g cm⁻³

=====

Which of these has the highest calculated total energy? LiNbIn